(1)
Ho3ZrTe2C2 | PBE | optimized geometry

abc: 3.7265 3.7265 13.8888
angles: 90.00 90.00 120.00
With the nearest neighbours (Å) after each atom.
Fractional coordinates of all 8 atoms:
Ho 0.0000 0.0000 0.0000  3 C 2.56
Ho 0.0000 0.0000 0.3186  3 C 2.53
Ho 0.3333 0.6667 0.5066  3 C 2.50
Zr 0.3333 0.6667 0.8201  3 C 2.42
Te 0.0000 0.0000 0.6723  3 Zr 2.97, 3 Ho 3.15
Te 0.3333 0.6667 0.1582  6 Ho 3.07-3.10
C 0.6667 0.3333 0.4147  6 Ho 2.50-2.53
C 0.6667 0.3333 0.9003  3 Zr 2.42, 3 Ho 2.56

**VASP energy**: -6.735 eV per atom

---

(2)
Pr2Nd2CI2Cl3 | PBE | optimized geometry

abc: 9.7215 9.7215 8.2370
angles: 102.80 102.80 23.65
With the nearest neighbours (Å) after each atom.
Fractional coordinates of all 10 atoms:
Pr 0.0006 0.0006 0.2154  2 C 2.67, 1 Cl 2.87
Pr 0.9994 0.9994 0.7846  2 C 2.67, 1 Cl 2.87
Nd 0.3634 0.3634 0.9228  1 C 2.53
Nd 0.6366 0.6366 0.0772  1 C 2.53
C 0.5000 0.5000 0.0000  2 Nd 2.53, 4 Pr 2.67
I 0.1719 0.1719 0.8026  3 Nd 3.20-3.55, 1 Pr 3.25
I 0.8281 0.8281 0.1974  3 Nd 3.20-3.55, 1 Pr 3.25
Cl 0.1549 0.1549 0.3294  2 Nd 2.84, 1 Pr 2.87
Cl 0.5000 0.5000 0.5000  4 Pr 3.08
Cl 0.8451 0.8451 0.6706  2 Nd 2.84, 1 Pr 2.87

**ΔE to the lowest computed polymorph**: 0.000 eV per atom

---

(3)
TbPuIr | PBE | optimized geometry

abc: 4.8149 4.8149 4.8149
angles: 60.00 60.00 60.00
With the nearest neighbours (Å) after each atom.
Fractional coordinates of all 3 atoms:
Tb 0.0000 0.0000 0.0000  4 Ir 2.95
Pu 0.5000 0.5000 0.5000  4 Ir 2.95
Ir 0.7500 0.7500 0.7500  4 Tb 2.95, 4 Pu 2.95

**E_form**: -507 meV per atom
**ΔE to the lowest computed polymorph**: 0.000 eV per atom

---

(4)
Cs2Pd2O3 | PBE | optimized geometry

abc: 8.0054 8.0054 8.0054
angles: 109.47 109.47 109.47
With the nearest neighbours (Å) after each atom.
Fractional coordinates of all 14 atoms:
Cs 0.0000 0.3791 0.5000  3 O 2.97, 1 Pd 3.01
Cs 0.1209 0.1209 0.1209  3 O 2.97, 1 Pd 3.01
Cs 0.3791 0.5000 0.0000  3 O 2.97, 1 Pd 3.01
Cs 0.5000 0.0000 0.3791  3 O 2.97, 1 Pd 3.01
Pd 0.0000 0.7545 0.5000  3 O 2.03
Pd 0.5000 0.0000 0.7545  3 O 2.03
Pd 0.7455 0.7455 0.7455  3 O 2.03
Pd 0.7545 0.5000 0.0000  3 O 2.03
O 0.0032 0.7500 0.7532  2 Pd 2.03
O 0.2500 0.7468 0.4968  2 Pd 2.03
O 0.4968 0.2500 0.7468  2 Pd 2.03
O 0.7468 0.4968 0.2500  2 Pd 2.03
O 0.7500 0.7532 0.0032  2 Pd 2.03
O 0.7532 0.0032 0.7500  2 Pd 2.03

**ΔE to the lowest computed polymorph**: 0.188 eV per atom

---

(5)
PrZnInTe3 | PBE | optimized geometry

abc: 9.0970 4.6461 18.0613
angles: 90.00 90.00 90.00
With the nearest neighbours (Å) after each atom.
Fractional coordinates of all 24 atoms:
Pr 0.2432 0.2500 0.0464  7 Te 3.10-3.43
Pr 0.2568 0.7500 0.5464  7 Te 3.10-3.43
Pr 0.7432 0.2500 0.4536  7 Te 3.10-3.43
Pr 0.7568 0.7500 0.9536  7 Te 3.10-3.43
Zn 0.1333 0.2500 0.3581  4 Te 2.62-2.77
Zn 0.3667 0.7500 0.8581  4 Te 2.62-2.77
Zn 0.6333 0.2500 0.1419  4 Te 2.62-2.77
Zn 0.8667 0.7500 0.6419  4 Te 2.62-2.77
In 0.0731 0.2500 0.7802  7 Te 3.35-3.75
In 0.4269 0.7500 0.2802  7 Te 3.35-3.75
In 0.5731 0.2500 0.7198  7 Te 3.35-3.75
In 0.9269 0.7500 0.2198  7 Te 3.35-3.75
Te 0.0010 0.2500 0.5920  2 Zn 2.77
Te 0.1231 0.7500 0.9414  1 Zn 2.68
Te 0.1922 0.2500 0.2160  1 Zn 2.62
Te 0.3078 0.7500 0.7160  1 Zn 2.62
Te 0.3769 0.2500 0.4414  1 Zn 2.68
Te 0.4990 0.7500 0.0920  2 Zn 2.77
Te 0.5010 0.2500 0.9080  2 Zn 2.77
Te 0.6231 0.7500 0.5586  1 Zn 2.68
Te 0.6922 0.2500 0.2840  1 Zn 2.62
Te 0.8078 0.7500 0.7840  1 Zn 2.62
Te 0.8769 0.2500 0.0586  1 Zn 2.68
Te 0.9990 0.7500 0.4080  2 Zn 2.77

**ΔE to the lowest computed polymorph**: 0.070 eV per atom

---

(6)
Mg2NbTc | PBE | optimized geometry

abc: 4.5933 4.5933 4.5933
angles: 60.00 60.00 60.00
With the nearest neighbours (Å) after each atom.
Fractional coordinates of all 4 atoms:
Mg 0.0000 0.0000 0.0000  4 Nb 2.81, 4 Mg 2.81
Mg 0.2500 0.2500 0.2500  4 Tc 2.81, 4 Mg 2.81
Nb 0.7500 0.7500 0.7500  4 Tc 2.81, 4 Mg 2.81
Tc 0.5000 0.5000 0.5000  4 Nb 2.81, 4 Mg 2.81

**VASP energy**: -5.751 eV per atom